Run P
Below is a geometry-optimized NaAcIr structure, with properties calculated at the PBE-GGA level.

Unit cell a=4.9351 b=4.9351 c=4.9351 alpha=60.00 beta=60.00 gamma=60.00
With the nearest neighbours (Å) after each atom.
Positions (direct):
Na 0.2500 0.2500 0.2500  4 Ir 3.02
Ir 0.0000 0.0000 0.0000  4 Ac 3.02, 4 Na 3.02
Ac 0.7500 0.7500 0.7500  4 Ir 3.02

Size of the total moment, μB/f.u.: 0.071


Run Q
Below is a geometry-optimized NaAcIr structure, with properties calculated at the PBE-GGA level.

Unit cell a=4.9633 b=4.9633 c=4.9633 alpha=60.00 beta=60.00 gamma=60.00
With the nearest neighbours (Å) after each atom.
Positions (direct):
Ac 0.0000 0.0000 0.0000  4 Ir 3.04, 4 Na 3.04
Ir 0.2500 0.2500 0.2500  4 Ac 3.04
Na 0.7500 0.7500 0.7500  4 Ac 3.04

Size of the total moment, μB/f.u.: 0.010


run P is preferred energetically. Next in line: 0.492 eV/atom higher.


Run P
Below is a geometry-optimized AcSi2Ir2 structure, with properties calculated at the PBE-GGA level.

Unit cell a=6.1447 b=6.1447 c=6.1447 alpha=140.22 beta=140.22 gamma=57.52
With the nearest neighbours (Å) after each atom.
Positions (direct):
Ir 0.7500 0.2500 0.5000  4 Si 2.44
Ir 0.2500 0.7500 0.5000  4 Si 2.44
Si 0.6336 0.6336 0.0000  4 Ir 2.44
Si 0.3664 0.3664 0.0000  4 Ir 2.44
Ac 0.0000 0.0000 0.0000  8 Si 3.29, 8 Ir 3.41

Size of the total moment, μB/f.u.: 0.002


Run Q
Below is a geometry-optimized AcSi2Ir2 structure, with properties calculated at the PBE-GGA level.

Unit cell a=5.9647 b=5.9647 c=7.0891 alpha=102.75 beta=102.75 gamma=118.31
With the nearest neighbours (Å) after each atom.
Positions (direct):
Ir 0.7441 0.4943 0.9874  4 Si 2.37-2.42
Ir 0.2559 0.5057 0.0126  4 Si 2.37-2.42
Ir 0.5057 0.2559 0.5126  4 Si 2.37-2.42
Ir 0.4943 0.7441 0.4874  4 Si 2.37-2.42
Si 0.5593 0.4407 0.2500  4 Ir 2.37-2.42
Si 0.1909 0.8091 0.2500  4 Ir 2.37-2.42
Si 0.8091 0.1909 0.7500  4 Ir 2.37-2.42
Si 0.4407 0.5593 0.7500  4 Ir 2.37-2.42
Ac 0.1248 0.8752 0.7500  10 Si 3.23-3.61, 8 Ir 3.41-3.43
Ac 0.8752 0.1248 0.2500  10 Si 3.23-3.61, 8 Ir 3.41-3.43

Size of the total moment, μB/f.u.: 0.006


run P is preferred energetically. Next in line: 0.032 eV/atom higher.


Run P
Below is a geometry-optimized AcTeIr structure, with properties calculated at the PBE-GGA level.

Unit cell a=4.9275 b=4.9275 c=4.9275 alpha=60.00 beta=60.00 gamma=60.00
With the nearest neighbours (Å) after each atom.
Positions (direct):
Te 0.2500 0.2500 0.2500  4 Ir 3.02
Ac 0.7500 0.7500 0.7500  4 Ir 3.02
Ir 0.0000 0.0000 0.0000  4 Te 3.02, 4 Ac 3.02

Size of the total moment, μB/f.u.: 0.000


Run Q
Below is a geometry-optimized AcTeIr structure, with properties calculated at the PBE-GGA level.

Unit cell a=5.1986 b=5.1986 c=5.1986 alpha=60.00 beta=60.00 gamma=60.00
With the nearest neighbours (Å) after each atom.
Positions (direct):
Ir 0.2500 0.2500 0.2500  4 Ac 3.18
Te 0.7500 0.7500 0.7500  4 Ac 3.18
Ac 0.0000 0.0000 0.0000  4 Ir 3.18, 4 Te 3.18

Size of the total moment, μB/f.u.: 1.074


run P is preferred energetically. Next in line: 0.822 eV/atom higher.


Run P
Below is a geometry-optimized AcZnIr structure, with properties calculated at the PBE-GGA level.

Unit cell a=4.8008 b=4.8008 c=4.8008 alpha=60.00 beta=60.00 gamma=60.00
With the nearest neighbours (Å) after each atom.
Positions (direct):
Ac 0.7500 0.7500 0.7500  4 Ir 2.94
Zn 0.2500 0.2500 0.2500  4 Ir 2.94
Ir 0.0000 0.0000 0.0000  4 Ac 2.94, 4 Zn 2.94

Size of the total moment, μB/f.u.: 0.003


Run Q
Below is a geometry-optimized AcZnIr structure, with properties calculated at the PBE-GGA level.

Unit cell a=7.4012 b=4.3009 c=8.4985 alpha=90.00 beta=90.00 gamma=90.00
With the nearest neighbours (Å) after each atom.
Positions (direct):
Zn 0.8568 0.7500 0.9368  4 Ir 2.69-2.92
Zn 0.3568 0.7500 0.5632  4 Ir 2.69-2.92
Zn 0.6432 0.2500 0.4368  4 Ir 2.69-2.92
Zn 0.1432 0.2500 0.0632  4 Ir 2.69-2.92
Ac 0.9707 0.7500 0.3100  5 Ir 3.10-3.16, 5 Zn 3.26-3.42
Ac 0.5293 0.2500 0.8100  5 Ir 3.10-3.16, 5 Zn 3.26-3.42
Ac 0.4707 0.7500 0.1900  5 Ir 3.10-3.16, 5 Zn 3.26-3.42
Ac 0.0293 0.2500 0.6900  5 Ir 3.10-3.16, 5 Zn 3.26-3.42
Ir 0.7292 0.7500 0.6122  4 Zn 2.69-2.92
Ir 0.2708 0.2500 0.3878  4 Zn 2.69-2.92
Ir 0.2292 0.7500 0.8878  4 Zn 2.69-2.92
Ir 0.7708 0.2500 0.1122  4 Zn 2.69-2.92

Size of the total moment, μB/f.u.: 0.001


Run R
Below is a geometry-optimized AcZnIr structure, with properties calculated at the PBE-GGA level.

Unit cell a=4.9391 b=4.9391 c=4.9391 alpha=60.00 beta=60.00 gamma=60.00
With the nearest neighbours (Å) after each atom.
Positions (direct):
Ir 0.2500 0.2500 0.2500  4 Ac 3.02
Ac 0.0000 0.0000 0.0000  4 Zn 3.02, 4 Ir 3.02
Zn 0.7500 0.7500 0.7500  4 Ac 3.02

Size of the total moment, μB/f.u.: 0.000


run Q is preferred energetically. Next in line: 0.228 eV/atom higher.


Run P
Below is a geometry-optimized LiAcLu structure, with properties calculated at the PBE-GGA level.

Unit cell a=5.2379 b=5.2379 c=5.2379 alpha=60.00 beta=60.00 gamma=60.00
With the nearest neighbours (Å) after each atom.
Positions (direct):
Lu 0.5000 0.5000 0.5000  4 Li 3.21
Ac 0.0000 0.0000 0.0000  4 Li 3.21
Li 0.7500 0.7500 0.7500  4 Lu 3.21, 4 Ac 3.21

Size of the total moment, μB/f.u.: 0.004


Run Q
Below is a geometry-optimized LiAcLu structure, with properties calculated at the PBE-GGA level.

Unit cell a=5.4119 b=5.4119 c=5.4119 alpha=60.00 beta=60.00 gamma=60.00
With the nearest neighbours (Å) after each atom.
Positions (direct):
Li 0.2500 0.2500 0.2500  4 Ac 3.31
Ac 0.0000 0.0000 0.0000  4 Lu 3.31, 4 Li 3.31
Lu 0.7500 0.7500 0.7500  4 Ac 3.31

Size of the total moment, μB/f.u.: 0.000


run P is preferred energetically. Next in line: 0.444 eV/atom higher.


Run P
Below is a geometry-optimized LiAcNp structure, with properties calculated at the PBE-GGA level.

Unit cell a=5.0749 b=5.0749 c=5.0749 alpha=60.00 beta=60.00 gamma=60.00
With the nearest neighbours (Å) after each atom.
Positions (direct):
Ac 0.2500 0.2500 0.2500  4 Li 3.11
Li 0.0000 0.0000 0.0000  4 Np 3.11, 4 Ac 3.11
Np 0.7500 0.7500 0.7500  4 Li 3.11

Size of the total moment, μB/f.u.: 5.635


Run Q
Below is a geometry-optimized LiAcNp structure, with properties calculated at the PBE-GGA level.

Unit cell a=5.0227 b=5.0227 c=5.0227 alpha=60.00 beta=60.00 gamma=60.00
With the nearest neighbours (Å) after each atom.
Positions (direct):
Ac 0.0000 0.0000 0.0000  4 Li 3.08, 4 Np 3.08
Li 0.2500 0.2500 0.2500  4 Ac 3.08
Np 0.7500 0.7500 0.7500  4 Ac 3.08

Size of the total moment, μB/f.u.: 4.873


run P is preferred energetically. Next in line: 0.289 eV/atom higher.


Run P
Below is a geometry-optimized LiAcPu structure, with properties calculated at the PBE-GGA level.

Unit cell a=5.2271 b=5.2271 c=5.2271 alpha=60.00 beta=60.00 gamma=60.00
With the nearest neighbours (Å) after each atom.
Positions (direct):
Pu 0.7500 0.7500 0.7500  4 Ac 3.20
Li 0.2500 0.2500 0.2500  4 Ac 3.20
Ac 0.0000 0.0000 0.0000  4 Li 3.20, 4 Pu 3.20

Size of the total moment, μB/f.u.: 6.471


Run Q
Below is a geometry-optimized LiAcPu structure, with properties calculated at the PBE-GGA level.

Unit cell a=5.2327 b=5.2327 c=5.2327 alpha=60.00 beta=60.00 gamma=60.00
With the nearest neighbours (Å) after each atom.
Positions (direct):
Ac 0.0000 0.0000 0.0000  4 Li 3.20
Li 0.2500 0.2500 0.2500  4 Ac 3.20, 4 Pu 3.20
Pu 0.5000 0.5000 0.5000  4 Li 3.20

Size of the total moment, μB/f.u.: 7.027


run Q is preferred energetically. Next in line: 0.291 eV/atom higher.


Run P
Below is a geometry-optimized LiAcZr structure, with properties calculated at the PBE-GGA level.

Unit cell a=5.0182 b=5.0182 c=5.0182 alpha=60.00 beta=60.00 gamma=60.00
With the nearest neighbours (Å) after each atom.
Positions (direct):
Ac 0.2500 0.2500 0.2500  4 Zr 3.07
Li 0.7500 0.7500 0.7500  4 Zr 3.07
Zr 0.0000 0.0000 0.0000  4 Li 3.07, 4 Ac 3.07

Size of the total moment, μB/f.u.: 0.017


Run Q
Below is a geometry-optimized LiAcZr structure, with properties calculated at the PBE-GGA level.

Unit cell a=5.0629 b=5.0629 c=5.0629 alpha=60.00 beta=60.00 gamma=60.00
With the nearest neighbours (Å) after each atom.
Positions (direct):
Zr 0.7500 0.7500 0.7500  4 Ac 3.10
Li 0.2500 0.2500 0.2500  4 Ac 3.10
Ac 0.0000 0.0000 0.0000  4 Zr 3.10, 4 Li 3.10

Size of the total moment, μB/f.u.: 0.013


run P is preferred energetically. Next in line: 0.160 eV/atom higher.


Run P
Below is a geometry-optimized AcLuMo structure, with properties calculated at the PBE-GGA level.

Unit cell a=5.1439 b=5.1439 c=5.1439 alpha=60.00 beta=60.00 gamma=60.00
With the nearest neighbours (Å) after each atom.
Positions (direct):
Lu 0.2500 0.2500 0.2500  4 Ac 3.15
Mo 0.7500 0.7500 0.7500  4 Ac 3.15
Ac 0.0000 0.0000 0.0000  4 Mo 3.15, 4 Lu 3.15

Size of the total moment, μB/f.u.: 2.039


Run Q
Below is a geometry-optimized AcLuMo structure, with properties calculated at the PBE-GGA level.

Unit cell a=5.0623 b=5.0623 c=5.0623 alpha=60.00 beta=60.00 gamma=60.00
With the nearest neighbours (Å) after each atom.
Positions (direct):
Ac 0.2500 0.2500 0.2500  4 Lu 3.10
Mo 0.7500 0.7500 0.7500  4 Lu 3.10
Lu 0.0000 0.0000 0.0000  4 Ac 3.10, 4 Mo 3.10

Size of the total moment, μB/f.u.: 1.757


run Q is preferred energetically. Next in line: 0.263 eV/atom higher.


Run P
Below is a geometry-optimized Ac2Lu2O5 structure, with properties calculated at the PBE-GGA level.

Unit cell a=8.0329 b=4.2699 c=4.2699 alpha=90.00 beta=90.00 gamma=90.00
With the nearest neighbours (Å) after each atom.
Positions (direct):
Ac 0.0000 0.0000 0.0000  8 O 2.92
Ac 0.5000 0.0000 0.0000  12 O 2.94-3.02
Lu 0.2389 0.5000 0.5000  5 O 2.10-2.14
Lu 0.7611 0.5000 0.5000  5 O 2.10-2.14
O 0.5000 0.5000 0.5000  2 Lu 2.10
O 0.7513 0.0000 0.5000  2 Lu 2.14
O 0.2487 0.5000 0.0000  2 Lu 2.14
O 0.2487 0.0000 0.5000  2 Lu 2.14
O 0.7513 0.5000 0.0000  2 Lu 2.14

Size of the total moment, μB/f.u.: 0.000


Run Q
Below is a geometry-optimized Ac2Lu2O5 structure, with properties calculated at the PBE-GGA level.

Unit cell a=8.1381 b=4.4500 c=4.4500 alpha=90.00 beta=90.00 gamma=90.00
With the nearest neighbours (Å) after each atom.
Positions (direct):
O 0.3121 0.0000 0.5000  2 Ac 2.33
O 0.5000 0.5000 0.5000  2 Ac 2.21
O 0.3121 0.5000 0.0000  2 Ac 2.33
O 0.6879 0.0000 0.5000  2 Ac 2.33
O 0.6879 0.5000 0.0000  2 Ac 2.33
Lu 0.5000 0.0000 0.0000  8 O 2.70
Lu 0.0000 0.0000 0.0000  8 O 3.38, 8 Ac 3.66
Ac 0.2286 0.5000 0.5000  5 O 2.21-2.33
Ac 0.7714 0.5000 0.5000  5 O 2.21-2.33

Size of the total moment, μB/f.u.: 0.000


run P is preferred energetically. Next in line: 1.092 eV/atom higher.


Run P
Below is a geometry-optimized AcLuPu structure, with properties calculated at the PBE-GGA level.

Unit cell a=5.4520 b=5.4520 c=5.4520 alpha=60.00 beta=60.00 gamma=60.00
With the nearest neighbours (Å) after each atom.
Positions (direct):
Lu 0.2500 0.2500 0.2500  4 Ac 3.34
Pu 0.7500 0.7500 0.7500  4 Ac 3.34
Ac 0.0000 0.0000 0.0000  4 Lu 3.34, 4 Pu 3.34

Size of the total moment, μB/f.u.: 7.337


Run Q
Below is a geometry-optimized AcLuPu structure, with properties calculated at the PBE-GGA level.

Unit cell a=5.5673 b=5.5673 c=5.5673 alpha=60.00 beta=60.00 gamma=60.00
With the nearest neighbours (Å) after each atom.
Positions (direct):
Ac 0.2500 0.2500 0.2500  4 Lu 3.41
Pu 0.7500 0.7500 0.7500  4 Lu 3.41
Lu 0.0000 0.0000 0.0000  4 Pu 3.41, 4 Ac 3.41

Size of the total moment, μB/f.u.: 6.302


run Q is preferred energetically. Next in line: 0.124 eV/atom higher.


Run P
Below is a geometry-optimized AcLuSc structure, with properties calculated at the PBE-GGA level.

Unit cell a=5.4270 b=5.4270 c=5.4270 alpha=60.00 beta=60.00 gamma=60.00
With the nearest neighbours (Å) after each atom.
Positions (direct):
Ac 0.2500 0.2500 0.2500  4 Sc 3.32
Sc 0.0000 0.0000 0.0000  4 Lu 3.32, 4 Ac 3.32
Lu 0.7500 0.7500 0.7500  4 Sc 3.32

Size of the total moment, μB/f.u.: 0.817


Run Q
Below is a geometry-optimized AcLuSc structure, with properties calculated at the PBE-GGA level.

Unit cell a=5.4470 b=5.4470 c=5.4470 alpha=60.00 beta=60.00 gamma=60.00
With the nearest neighbours (Å) after each atom.
Positions (direct):
Lu 0.2500 0.2500 0.2500  4 Ac 3.34
Sc 0.7500 0.7500 0.7500  4 Ac 3.34
Ac 0.0000 0.0000 0.0000  4 Sc 3.34, 4 Lu 3.34

Size of the total moment, μB/f.u.: 0.508


run P is preferred energetically. Next in line: 0.266 eV/atom higher.